# 1
# Tb6Dy16Ho7

Crystalline Tb6Dy16Ho7 at its relaxed geometry (PBE, the Alexandria database).

The structure belongs to space group Fm-3m (No. 225); the cell edges are 15.632, 15.632 and 15.632 Å and the angles 90.00°, 90.00° and 90.00°. The asymmetric unit holds Tb at (0.000, 0.000, 0.222), Dy at (0.123, 0.123, 0.377), Dy at (0.152, 0.152, 0.152), Ho at (0.000, 0.000, 0.500) and Ho at (0.000, 0.250, 0.250).

The crystal system is cubic. The value obtained for the size of the total moment is 0.00 μB per formula unit. The value obtained for the density of states at the Fermi level is 217.991 states/eV per cell. The calculation puts the energy relative to the elements at 0.240 eV per atom.

***

# 2
# PdPtI4

Crystalline PdPtI4 at its relaxed geometry (PBE, the Alexandria database).

The structure belongs to space group C2/m (No. 12); the cell edges are 13.343, 3.884 and 11.151 Å and the angles 90.00°, 123.55° and 90.00°. The asymmetric unit holds Pd at (0.000, 0.000, 0.000), Pt at (0.000, 0.500, 0.500), I at (0.056, 0.000, 0.390) and I at (0.160, 0.500, 0.106).

The crystal system is monoclinic. The value obtained for the size of the total moment is 0.00 μB per formula unit. The formation energy without anion corrections comes out at -0.164 eV per atom.